# 1
VASP calculation (PBE-GGA) on a relaxed Sm2EuCd crystal.

## Properties
Formation energy from the elements (eV/atom): -0.03
Theoretical density (g cm⁻³): 7.60
Raw total energy (eV per atom): -5.184
Relative energy among the computed polymorphs (meV/atom): 74
N(E_F) (states/eV/f.u.): 4.05
Symmetry: Fm-3m, No. 225

Cell: 5.588 5.588 5.588 Å, 60.00 60.00 60.00°
Each line ends with the local moment (μB).
Atoms (fractional coordinates):
Cd 0.500 0.500 0.500  -0.01
Sm 0.750 0.750 0.750  0.03
Sm 0.250 0.250 0.250  0.03
Eu 0.000 0.000 0.000  6.87

# 2
VASP calculation (PBE-GGA) on a relaxed ScCr2Te crystal.

## Properties
Theoretical density (g cm⁻³): 5.94
Raw total energy (eV per atom): -6.917
N(E_F) (states/eV/f.u.): 5.84
Symmetry: F-43m, No. 216

Cell: 4.781 4.781 4.781 Å, 60.00 60.00 60.00°
Each line ends with the local moment (μB).
Atoms (fractional coordinates):
Sc 0.500 0.500 0.500  -0.04
Cr 0.000 0.000 0.000  -3.34
Te 0.750 0.750 0.750  0.01
Cr 0.250 0.250 0.250  3.48

# 3
VASP calculation (PBE-GGA) on a relaxed TbNd2YEr5 crystal.

## Properties
Formation energy from the elements (eV/atom): 0.27
Theoretical density (g cm⁻³): 7.87
Raw total energy (eV per atom): -4.558
N(E_F) (states/eV/f.u.): 11.12
Symmetry: I4/mcm, No. 140

Cell: 8.615 8.615 9.897 Å, 115.80 115.80 90.00°
Atoms (fractional coordinates):
Y 0.750 0.250 0.500
Er 0.353 0.853 0.280
Er 0.427 0.353 0.280
Er 0.073 0.573 0.720
Nd 0.618 0.118 0.000
Er 0.573 0.647 0.720
Tb 0.750 0.750 0.500
Er 0.927 0.427 0.280
Tb 0.250 0.250 0.500
Nd 0.882 0.618 0.000
Nd 0.118 0.382 0.000
Y 0.250 0.750 0.500
Er 0.500 0.500 0.000
Er 0.853 0.927 0.280
Nd 0.382 0.882 0.000
Er 0.647 0.147 0.720
Er 0.000 0.000 0.000
Er 0.147 0.073 0.720

# 4
VASP calculation (PBE-GGA) on a relaxed TaRuO2 crystal.

## Properties
Theoretical density (g cm⁻³): 10.64
Raw total energy (eV per atom): -8.847
Relative energy among the computed polymorphs (meV/atom): 178
N(E_F) (states/eV/f.u.): 1.76
Symmetry: I-42d, No. 122

Cell: 3.920 3.920 6.955 Å, 73.63 73.63 90.00°
Each line ends with the local moment (μB).
Atoms (fractional coordinates):
Ru 0.500 0.500 0.000  0.83
Ru 0.250 0.750 0.500  0.84
O 0.653 0.125 0.250  0.05
Ta 0.000 0.000 0.000  -0.02
O 0.097 0.625 0.250  0.05
Ta 0.750 0.250 0.500  -0.02
O 0.875 0.903 0.750  0.05
O 0.375 0.347 0.750  0.05

# 5
VASP calculation (PBE-GGA) on a relaxed Ba3Sr6Ag crystal.

## Properties
Formation energy from the elements (eV/atom): 0.01
Theoretical density (g cm⁻³): 3.27
Raw total energy (eV per atom): -1.861
N(E_F) (states/eV/f.u.): 13.31
Symmetry: P2_1/m, No. 11

Cell: 4.226 14.511 19.010 Å, 114.29 90.00 90.00°
Atoms (fractional coordinates):
Sr 0.750 0.879 0.142
Ba 0.750 0.139 0.078
Ba 0.250 0.650 0.169
Sr 0.750 0.556 0.724
Sr 0.750 0.774 0.362
Sr 0.750 0.067 0.428
Sr 0.250 0.444 0.276
Ag 0.750 0.093 0.706
Ba 0.250 0.861 0.922
Ag 0.250 0.907 0.294
Ba 0.250 0.365 0.490
Sr 0.250 0.226 0.638
Sr 0.250 0.933 0.572
Sr 0.250 0.607 0.952
Sr 0.750 0.861 0.728
Sr 0.750 0.393 0.048
Sr 0.250 0.139 0.272
Ba 0.750 0.635 0.510
Ba 0.750 0.350 0.831
Sr 0.250 0.121 0.858

# 6
VASP calculation (PBE-GGA) on a relaxed Ac2Ag5Pb crystal.

## Properties
Formation energy from the elements (eV/atom): -0.12
Theoretical density (g cm⁻³): 9.22
Raw total energy (eV per atom): -3.391
Relative energy among the computed polymorphs (meV/atom): 148
N(E_F) (states/eV/f.u.): 4.61
Symmetry: I4mm, No. 107

Cell: 6.617 6.617 6.617 Å, 97.78 115.61 115.61°
Atoms (fractional coordinates):
Ag 0.000 0.712 0.309
Ac 0.500 0.759 0.259
Ac 0.500 0.259 0.759
Ag 0.000 0.256 0.256
Pb 0.000 0.907 0.907
Ag 0.597 0.309 0.309
Ag 0.000 0.309 0.712
Ag 0.403 0.712 0.712

# 7
VASP calculation (PBE-GGA) on a relaxed CaCuBr3 crystal.

## Properties
Theoretical density (g cm⁻³): 3.61
Raw total energy (eV per atom): -3.495
Relative energy among the computed polymorphs (meV/atom): 0
N(E_F) (states/eV/f.u.): 0.00
Symmetry: P2_1/c, No. 14

Cell: 7.157 8.248 10.700 Å, 90.00 87.14 90.00°
Each line ends with the local moment (μB).
Atoms (fractional coordinates):
Cu 0.581 0.505 0.888  0.06
Br 0.561 0.480 0.323  0.00
Ca 0.589 0.751 0.496  0.00
Br 0.987 0.745 0.505  0.01
Br 0.513 0.245 0.995  0.01
Cu 0.919 0.005 0.612  0.06
Ca 0.911 0.251 0.004  0.00
Br 0.577 0.019 0.668  0.00
Br 0.923 0.519 0.832  0.00
Br 0.423 0.981 0.332  0.00
Ca 0.411 0.249 0.504  0.00
Br 0.061 0.020 0.823  0.00
Br 0.013 0.255 0.495  0.01
Br 0.487 0.755 0.005  0.01
Cu 0.419 0.495 0.112  0.06
Br 0.939 0.980 0.177  0.00
Cu 0.081 0.995 0.388  0.06
Ca 0.089 0.749 0.996  0.00
Br 0.077 0.481 0.168  0.00
Br 0.439 0.520 0.677  0.00

# 8
VASP calculation (PBE-GGA) on a relaxed RhOF crystal.

## Properties
Theoretical density (g cm⁻³): 5.21
Raw total energy (eV per atom): -5.532
N(E_F) (states/eV/f.u.): 0.49
Symmetry: P-1, No. 2

Cell: 2.971 5.643 5.571 Å, 81.96 102.04 104.86°
Each line ends with the local moment (μB).
Atoms (fractional coordinates):
F 0.233 0.843 0.659  0.02
O 0.970 0.671 0.205  0.36
F 0.767 0.157 0.341  0.02
Rh 0.422 0.276 0.587  0.52
Rh 0.578 0.724 0.413  0.52
O 0.030 0.329 0.795  0.36

# 9
VASP calculation (PBE-GGA) on a relaxed PrSmLuGa crystal.

## Properties
Formation energy from the elements (eV/atom): -0.12
Theoretical density (g cm⁻³): 8.01
Raw total energy (eV per atom): -4.377
N(E_F) (states/eV/f.u.): 6.86
Symmetry: F-43m, No. 216

Cell: 5.396 5.396 5.396 Å, 60.00 60.00 60.00°
Atoms (fractional coordinates):
Ga 0.250 0.250 0.250
Lu 0.750 0.750 0.750
Sm 0.500 0.500 0.500
Pr 0.000 0.000 0.000

# 10
VASP calculation (PBE-GGA) on a relaxed LiSi2AsS6 crystal.

## Properties
Theoretical density (g cm⁻³): 2.66
Raw total energy (eV per atom): -4.767
N(E_F) (states/eV/f.u.): 0.00
Symmetry: C2/c, No. 15

Cell: 6.604 8.126 8.126 Å, 82.73 76.91 76.91°
Atoms (fractional coordinates):
S 0.524 0.590 0.686
S 0.856 0.016 0.196
As 0.750 0.753 0.247
S 0.627 0.085 0.630
S 0.644 0.804 0.984
Si 0.284 0.802 0.614
Li 0.250 0.890 0.110
Si 0.216 0.386 0.198
S 0.127 0.630 0.085
S 0.144 0.984 0.804
S 0.373 0.915 0.370
S 0.976 0.314 0.410
S 0.024 0.686 0.590
S 0.873 0.370 0.915
As 0.250 0.247 0.753
S 0.476 0.410 0.314
Si 0.784 0.614 0.802
Li 0.750 0.110 0.890
Si 0.716 0.198 0.386
S 0.356 0.196 0.016

# 11
VASP calculation (PBE-GGA) on a relaxed Mg5TlInHg2 crystal.

## Properties
Formation energy from the elements (eV/atom): -0.03
Theoretical density (g cm⁻³): 6.29
Raw total energy (eV per atom): -1.551
N(E_F) (states/eV/f.u.): 3.65
Symmetry: I4/mcm, No. 140

Cell: 7.298 7.298 9.813 Å, 111.83 111.83 90.00°
Atoms (fractional coordinates):
Hg 0.864 0.636 0.000
Mg 0.000 0.000 0.000
Mg 0.322 0.822 0.254
Tl 0.250 0.750 0.500
Hg 0.636 0.136 0.000
Mg 0.178 0.067 0.746
Mg 0.433 0.322 0.254
Mg 0.822 0.933 0.254
Mg 0.500 0.500 0.000
Tl 0.750 0.250 0.500
Mg 0.067 0.567 0.746
Hg 0.364 0.864 0.000
In 0.750 0.750 0.500
Hg 0.136 0.364 0.000
Mg 0.933 0.433 0.254
Mg 0.678 0.178 0.746
In 0.250 0.250 0.500
Mg 0.567 0.678 0.746

# 12
VASP calculation (PBE-GGA) on a relaxed Tb4Nd15Tm crystal.

## Properties
Formation energy from the elements (eV/atom): 0.01
Theoretical density (g cm⁻³): 7.19
Raw total energy (eV per atom): -4.714
N(E_F) (states/eV/f.u.): 27.58
Symmetry: P4/mmm, No. 123

Cell: 5.165 5.165 25.708 Å, 90.00 90.00 90.00°
Atoms (fractional coordinates):
Nd 0.000 0.500 0.901
Nd 0.000 0.500 0.500
Nd 0.500 0.500 0.199
Nd 0.500 0.500 0.400
Nd 0.500 0.500 0.600
Nd 0.500 0.000 0.700
Nd 0.000 0.500 0.300
Tb 0.000 0.000 0.199
Nd 0.500 0.000 0.500
Nd 0.500 0.500 0.801
Nd 0.000 0.500 0.700
Nd 0.500 0.500 0.000
Tm 0.000 0.000 0.000
Tb 0.000 0.000 0.600
Tb 0.000 0.000 0.400
Tb 0.000 0.000 0.801
Nd 0.500 0.000 0.099
Nd 0.500 0.000 0.901
Nd 0.500 0.000 0.300
Nd 0.000 0.500 0.099